Here is an optimized crystal structure of CsMnCo3 from the Alexandria database. Energies are from PBE-GGA.

For the calculated total energy, the calculation gives -24.1 eV per cell. The calculation puts the volume at 90 Å³ per cell. The energy above the most stable polymorph in this dataset is 0.00 eV per formula unit.

Structure (CIF):
```
data_CsMnCo3
_chemical_formula_sum 'Cs1 Mn1 Co3'
_space_group_name_H-M_alt 'P 1'
_space_group_IT_number 1
_cell_length_a 4.4736
_cell_length_b 4.4736
_cell_length_c 4.4736
_cell_angle_alpha 90.00
_cell_angle_beta 90.00
_cell_angle_gamma 90.00
loop_
_space_group_symop_operation_xyz
'x,y,z'
loop_
_atom_site_label
_atom_site_fract_x
_atom_site_fract_y
_atom_site_fract_z
Cs1 0.5000 0.5000 0.5000
Mn1 0.0000 0.0000 0.0000
Co1 0.0000 0.5000 0.0000
Co2 0.0000 0.0000 0.5000
Co3 0.5000 0.0000 0.0000
```